The following is a PBE calculation of a relaxed Mn2MoPt2 crystal, from the Alexandria database.

Calculated formation energy = 98 meV per atom
Space-group type = P4/mbm, No. 127
Calculated total energy = -8.15 eV/atom

Structure (POSCAR):
```
Mn2MoPt2
1.0
6.2153 0.0000 0.0000
0.0000 6.2153 0.0000
0.0000 0.0000 3.6588
Mn Mo Pt
4 2 4
Cartesian
0.7929 2.3148 0.0000
2.3148 5.4224 0.0000
3.9005 0.7929 0.0000
5.4224 3.9005 0.0000
0.0000 0.0000 0.0000
3.1077 3.1077 0.0000
1.0449 4.1525 1.8294
2.0628 1.0449 1.8294
4.1525 5.1704 1.8294
5.1704 2.0628 1.8294
```